[1]
# ZnAgSnPb

A relaxed ZnAgSnPb crystal (PBE, Alexandria).

- ΔE_f: 14.8 kJ/mol of atoms
- N(E_F): 3.23 states/eV/f.u.

Unit cell a=7.2105 b=7.2105 c=7.2105 alpha=90.00 beta=90.00 gamma=90.00
Closest atoms and distances in Å follow each position.
Space group F-43m (No. 216)
Symmetry-distinct sites (fractional):
Zn 0.0000 0.0000 0.0000 x4  4 Pb 3.12, 4 Sn 3.12
Ag 0.0000 0.0000 0.5000 x4  4 Pb 3.12, 4 Sn 3.12
Sn 0.2500 0.2500 0.2500 x4  4 Zn 3.12, 4 Ag 3.12
Pb 0.2500 0.2500 0.7500 x4  4 Zn 3.12, 4 Ag 3.12

---

[2]
# SrAgPb

A relaxed SrAgPb crystal (PBE, Alexandria).

- ΔE_f: -40.1 kJ/mol of atoms
- N(E_F): 0.15 states/eV/f.u.

Unit cell a=5.0838 b=5.0838 c=3.9210 alpha=90.00 beta=90.00 gamma=120.00
Closest atoms and distances in Å follow each position.
Space group P-6m2 (No. 187)
Symmetry-distinct sites (fractional):
Sr 0.0000 0.0000 0.0000 x1  6 Pb 3.53, 6 Ag 3.53, 2 Sr 3.92
Ag 0.6667 0.3333 0.5000 x1  3 Pb 2.94
Pb 0.3333 0.6667 0.5000 x1  3 Ag 2.94

---

[3]
# SrAg5Pb

A relaxed SrAg5Pb crystal (PBE, Alexandria).

- ΔE_f: -15.6 kJ/mol of atoms
- N(E_F): 2.52 states/eV/f.u.

Unit cell a=9.4047 b=5.7803 c=11.7342 alpha=90.00 beta=90.00 gamma=90.00
Closest atoms and distances in Å follow each position.
Space group Pnma (No. 62)
Symmetry-distinct sites (fractional):
Sr 0.2431 0.2500 0.0619 x4  15 Ag 3.35-3.74, 2 Pb 3.63-3.72
Ag 0.0665 0.7500 0.0956 x4  1 Pb 2.89, 4 Ag 2.90-3.00
Ag 0.0695 0.0023 0.3096 x8  7 Ag 2.84-2.92, 2 Pb 3.12-3.14
Ag 0.0864 0.2500 0.5180 x4  5 Ag 2.84-2.89
Ag 0.1809 0.2500 0.7514 x4  7 Ag 2.85-3.00, 2 Pb 3.17
Pb 0.1397 0.7500 0.8568 x4  8 Ag 2.89-3.20

---

[4]
# Sr2Ag3Pb2

A relaxed Sr2Ag3Pb2 crystal (PBE, Alexandria).

- ΔE_f: -29.2 kJ/mol of atoms
- N(E_F): 2.20 states/eV/f.u.

Unit cell a=11.8004 b=4.8819 c=7.4443 alpha=90.00 beta=113.75 gamma=90.00
Closest atoms and distances in Å follow each position.
Space group C2/m (No. 12)
Symmetry-distinct sites (fractional):
Sr 0.1464 0.0000 0.2519 x4  4 Ag 3.35-3.53, 4 Pb 3.44-3.58
Ag 0.0000 0.5000 0.5000 x2  2 Ag 2.85, 4 Pb 3.07
Ag 0.0888 0.5000 0.9176 x4  2 Ag 2.82-2.85, 2 Pb 3.01
Pb 0.1434 0.0000 0.7305 x4  5 Ag 3.01-3.19

---

[5]
# Sr8Ag2Pb

A relaxed Sr8Ag2Pb crystal (PBE, Alexandria).

- ΔE_f: -18.0 kJ/mol of atoms
- N(E_F): 8.75 states/eV/f.u.

Unit cell a=10.1170 b=15.0312 c=6.2438 alpha=90.00 beta=105.12 gamma=90.00
Closest atoms and distances in Å follow each position.
Space group Cm (No. 8)
Symmetry-distinct sites (fractional):
Sr 0.0000 0.0000 0.0000 x2  2 Ag 3.45, 1 Pb 3.64
Sr 0.0696 0.3709 0.7773 x4  2 Ag 3.35-3.40
Sr 0.1749 0.1291 0.6036 x4  2 Ag 3.35-3.39
Sr 0.2446 0.5000 0.3787 x2  2 Ag 3.44, 1 Pb 3.64
Sr 0.3727 0.2363 0.1894 x4  2 Ag 3.34, 1 Pb 3.55
Ag 0.3720 0.3149 0.6891 x4  8 Sr 3.34-3.45
Pb 0.3728 0.0000 0.1789 x2  4 Sr 3.55-3.64

---

[6]
# Sr2Ag16Pb

A relaxed Sr2Ag16Pb crystal (PBE, Alexandria).

- ΔE_f: -8.9 kJ/mol of atoms
- N(E_F): 6.31 states/eV/f.u.

Unit cell a=9.8900 b=9.8900 c=14.2938 alpha=90.00 beta=90.00 gamma=120.00
Closest atoms and distances in Å follow each position.
Space group R3m (No. 160, hexagonal axes)
Symmetry-distinct sites (fractional):
Sr 0.0000 0.0000 0.0000 x3  15 Ag 3.44-3.82, 1 Pb 3.64
Sr 0.0000 0.0000 0.3082 x3  19 Ag 3.38-3.75
Ag 0.0000 0.0000 0.5448 x3  1 Pb 2.86, 6 Ag 2.93-3.05
Ag 0.9998 0.3076 0.6485 x18  8 Ag 2.82-3.04
Ag 0.0008 0.5004 0.8045 x9  9 Ag 2.83-3.05
Ag 0.0069 0.5034 0.1492 x9  9 Ag 2.82-2.93, 1 Pb 3.08
Ag 0.1707 0.3413 0.8278 x9  8 Ag 2.84-3.00, 1 Pb 3.15
Pb 0.0000 0.0000 0.7452 x3  7 Ag 2.86-3.15